1.
## BaAl2CdRu (GGA-PBE)

Data for a relaxed BaAl2CdRu crystal.

a b c (Å): 4.974 6.185 4.974
angles (deg): 90.00 90.00 90.00
Positions (direct):
Ba 0.000 0.500 0.000
Al 0.500 0.000 0.000
Al 0.000 0.000 0.500
Cd 0.000 0.000 0.000
Ru 0.500 0.500 0.500

Results
Energy relative to the lowest polymorph listed for this composition in meV/atom: 1428
Formation enthalpy at 0 K in eV/atom: 1.116

2.
## BaAl2CdRu (GGA-PBE)

Data for a relaxed BaAl2CdRu crystal.

a b c (Å): 4.840 4.840 5.318
angles (deg): 90.00 90.00 90.00
Positions (direct):
Ru 0.000 0.000 0.000
Al 0.500 0.000 0.000
Al 0.000 0.500 0.000
Ba 0.500 0.500 0.500
Cd 0.000 0.000 0.500

Results
Energy relative to the lowest polymorph listed for this composition in meV/atom: 0
Formation enthalpy at 0 K in eV/atom: -0.312

3.
## BaAl2CdS (GGA-PBE)

Data for a relaxed BaAl2CdS crystal.

a b c (Å): 6.272 6.290 6.272
angles (deg): 90.00 90.00 90.00
Positions (direct):
Al 0.500 0.000 0.000
Al 0.000 0.000 0.500
S 0.500 0.500 0.500
Cd 0.000 0.500 0.000
Ba 0.000 0.000 0.000

4.
## Ba2AlCdSe5 (GGA-PBE)

Data for a relaxed Ba2AlCdSe5 crystal.

a b c (Å): 4.254 10.430 12.540
angles (deg): 90.00 90.00 101.77
Positions (direct):
Se 0.677 0.353 0.903
Se 0.323 0.647 0.403
Se 0.033 0.067 0.045
Se 0.515 0.029 0.776
Se 0.710 0.420 0.167
Se 0.357 0.714 0.986
Se 0.485 0.971 0.276
Se 0.290 0.580 0.667
Se 0.643 0.286 0.486
Se 0.967 0.933 0.545
Ba 0.893 0.786 0.796
Ba 0.878 0.757 0.177
Ba 0.122 0.243 0.677
Ba 0.107 0.214 0.296
Al 0.561 0.122 0.950
Al 0.439 0.878 0.450
Cd 0.770 0.540 0.523
Cd 0.230 0.460 0.023

5.
## Ba2Al4CdSi3 (GGA-PBE)

Data for a relaxed Ba2Al4CdSi3 crystal.

a b c (Å): 4.690 4.690 10.442
angles (deg): 90.00 90.00 90.00
Positions (direct):
Al 0.000 0.500 0.368
Al 0.500 0.000 0.632
Al 0.000 0.000 0.000
Al 0.500 0.500 0.000
Ba 0.500 0.000 0.249
Ba 0.000 0.500 0.751
Cd 0.500 0.500 0.500
Si 0.000 0.500 0.116
Si 0.500 0.000 0.884
Si 0.000 0.000 0.500

6.
## Ba2Al4Cd3Sn (GGA-PBE)

Data for a relaxed Ba2Al4Cd3Sn crystal.

a b c (Å): 4.736 4.736 11.785
angles (deg): 90.00 90.00 90.00
Positions (direct):
Cd 0.000 0.000 0.500
Cd 0.000 0.500 0.130
Cd 0.500 0.000 0.870
Al 0.500 0.500 0.000
Al 0.000 0.500 0.363
Al 0.000 0.000 0.000
Al 0.500 0.000 0.637
Sn 0.500 0.500 0.500
Ba 0.000 0.500 0.751
Ba 0.500 0.000 0.249

Results
Formation enthalpy at 0 K in eV/atom: -0.241

7.
## Ba2Al4TlCd3 (GGA-PBE)

Data for a relaxed Ba2Al4TlCd3 crystal.

a b c (Å): 4.751 4.751 11.781
angles (deg): 90.00 90.00 90.00
Positions (direct):
Cd 0.000 0.000 0.500
Cd 0.000 0.500 0.129
Cd 0.500 0.000 0.871
Ba 0.000 0.500 0.753
Ba 0.500 0.000 0.247
Al 0.000 0.000 0.000
Al 0.000 0.500 0.362
Al 0.500 0.000 0.638
Al 0.500 0.500 0.000
Tl 0.500 0.500 0.500

Results
Formation enthalpy at 0 K in eV/atom: -0.195

8.
## Ba2AlTl3Cd4 (GGA-PBE)

Data for a relaxed Ba2AlTl3Cd4 crystal.

a b c (Å): 4.967 4.967 12.227
angles (deg): 90.00 90.00 90.00
Positions (direct):
Ba 0.000 0.500 0.746
Ba 0.500 0.000 0.254
Tl 0.500 0.000 0.863
Tl 0.000 0.500 0.137
Tl 0.000 0.000 0.500
Cd 0.000 0.500 0.374
Cd 0.500 0.000 0.626
Cd 0.000 0.000 0.000
Cd 0.500 0.500 0.000
Al 0.500 0.500 0.500

Results
Formation enthalpy at 0 K in eV/atom: -0.219

9.
## Ba2AlTl6Cd (GGA-PBE)

Data for a relaxed Ba2AlTl6Cd crystal.

a b c (Å): 7.684 7.684 13.835
angles (deg): 73.88 73.88 60.00
Positions (direct):
Al 0.000 0.000 0.000
Al 0.500 0.500 0.500
Ba 0.891 0.891 0.328
Ba 0.718 0.718 0.846
Ba 0.109 0.109 0.672
Ba 0.282 0.282 0.154
Tl 0.342 0.779 0.100
Tl 0.658 0.221 0.900
Tl 0.779 0.342 0.100
Tl 0.338 0.919 0.405
Tl 0.662 0.662 0.595
Tl 0.662 0.081 0.595
Tl 0.919 0.338 0.405
Tl 0.779 0.779 0.100
Tl 0.221 0.221 0.900
Tl 0.221 0.658 0.900
Tl 0.081 0.662 0.595
Tl 0.338 0.338 0.405
Cd 0.426 0.426 0.721
Cd 0.574 0.574 0.279

Results
Formation enthalpy at 0 K in eV/atom: -0.133

10.
## Ba2AlZn3Cd4 (GGA-PBE)

Data for a relaxed Ba2AlZn3Cd4 crystal.

a b c (Å): 4.712 4.712 11.700
angles (deg): 90.00 90.00 90.00
Positions (direct):
Ba 0.500 0.000 0.253
Ba 0.000 0.500 0.747
Al 0.500 0.500 0.500
Zn 0.000 0.500 0.134
Zn 0.000 0.000 0.500
Zn 0.500 0.000 0.866
Cd 0.500 0.500 0.000
Cd 0.000 0.000 0.000
Cd 0.000 0.500 0.373
Cd 0.500 0.000 0.627

Results
Formation enthalpy at 0 K in eV/atom: -0.202

11.
## BaAlZn2Cd4 (GGA-PBE)

Data for a relaxed BaAlZn2Cd4 crystal.

a b c (Å): 4.702 4.702 10.812
angles (deg): 77.44 77.44 60.00
Positions (direct):
Zn 0.256 0.256 0.231
Zn 0.744 0.744 0.769
Cd 0.130 0.130 0.611
Cd 0.870 0.870 0.389
Cd 0.591 0.591 0.228
Cd 0.409 0.409 0.772
Al 0.500 0.500 0.500
Ba 0.000 0.000 0.000

Results
Formation enthalpy at 0 K in eV/atom: -0.058

12.
## Ba2Al4ZnCd3 (GGA-PBE)

Data for a relaxed Ba2Al4ZnCd3 crystal.

a b c (Å): 4.665 4.665 11.712
angles (deg): 90.00 90.00 90.00
Positions (direct):
Al 0.000 0.500 0.376
Al 0.500 0.500 0.000
Al 0.000 0.000 0.000
Al 0.500 0.000 0.624
Ba 0.500 0.000 0.255
Ba 0.000 0.500 0.745
Cd 0.000 0.000 0.500
Cd 0.500 0.000 0.864
Cd 0.000 0.500 0.136
Zn 0.500 0.500 0.500

Results
Formation enthalpy at 0 K in eV/atom: -0.191

13.
## Ba2AlZn4Cd3 (GGA-PBE)

Data for a relaxed Ba2AlZn4Cd3 crystal.

a b c (Å): 4.688 4.688 11.498
angles (deg): 90.00 90.00 90.00
Positions (direct):
Zn 0.000 0.000 0.000
Zn 0.500 0.000 0.625
Zn 0.000 0.500 0.375
Zn 0.500 0.500 0.000
Cd 0.000 0.500 0.130
Cd 0.500 0.000 0.870
Cd 0.000 0.000 0.500
Ba 0.500 0.000 0.251
Ba 0.000 0.500 0.749
Al 0.500 0.500 0.500

Results
Formation enthalpy at 0 K in eV/atom: -0.192

14.
## BaCeAl (GGA-PBE)

Data for a relaxed BaCeAl crystal.

a b c (Å): 4.878 3.973 11.805
angles (deg): 90.00 101.92 90.00
Positions (direct):
Ba 0.175 0.250 0.350
Ba 0.825 0.750 0.650
Al 0.956 0.250 0.913
Al 0.044 0.750 0.087
Ce 0.458 0.750 0.917
Ce 0.542 0.250 0.083

Results
Formation enthalpy at 0 K in eV/atom: -0.079

15.
## Ba2CeAl3Ga12 (GGA-PBE)

Data for a relaxed Ba2CeAl3Ga12 crystal.

a b c (Å): 11.012 11.012 11.012
angles (deg): 36.95 36.95 36.95
Positions (direct):
Ga 0.410 0.806 0.410
Ga 0.590 0.590 0.194
Ga 0.194 0.590 0.590
Ga 0.410 0.410 0.806
Ga 0.875 0.875 0.461
Ga 0.806 0.410 0.410
Ga 0.125 0.539 0.125
Ga 0.875 0.461 0.875
Ga 0.125 0.125 0.539
Ga 0.590 0.194 0.590
Ga 0.461 0.875 0.875
Ga 0.539 0.125 0.125
Ce 0.000 0.000 0.000
Ba 0.362 0.362 0.362
Ba 0.638 0.638 0.638
Al 0.000 0.000 0.500
Al 0.500 0.000 0.000
Al 0.000 0.500 0.000

Results
Formation enthalpy at 0 K in eV/atom: -0.069

16.
## BaCeAl2O6 (GGA-PBE)

Data for a relaxed BaCeAl2O6 crystal.

a b c (Å): 7.242 7.242 5.921
angles (deg): 100.31 100.31 88.01
Positions (direct):
Al 0.703 0.871 0.213
Al 0.297 0.129 0.787
Al 0.871 0.703 0.713
Al 0.129 0.297 0.287
Ba 0.174 0.826 0.250
Ba 0.826 0.174 0.750
O 0.381 0.896 0.706
O 0.308 0.473 0.368
O 0.896 0.381 0.206
O 0.473 0.308 0.868
O 0.145 0.175 0.527
O 0.527 0.692 0.132
O 0.175 0.145 0.027
O 0.855 0.825 0.473
O 0.104 0.619 0.794
O 0.825 0.855 0.973
O 0.692 0.527 0.632
O 0.619 0.104 0.294
Ce 0.394 0.606 0.750
Ce 0.606 0.394 0.250

17.
## Ba2CeAlSe5 (GGA-PBE)

Data for a relaxed Ba2CeAlSe5 crystal.

a b c (Å): 4.311 9.783 13.621
angles (deg): 90.00 90.00 102.73
Positions (direct):
Ba 0.880 0.761 0.187
Ba 0.876 0.752 0.835
Ba 0.120 0.239 0.687
Ba 0.124 0.248 0.335
Se 0.682 0.363 0.875
Se 0.651 0.302 0.512
Se 0.349 0.698 0.012
Se 0.299 0.598 0.675
Se 0.318 0.637 0.375
Se 0.501 0.003 0.271
Se 0.038 0.075 0.017
Se 0.962 0.925 0.517
Se 0.701 0.402 0.175
Se 0.499 0.997 0.771
Ce 0.800 0.601 0.530
Ce 0.200 0.399 0.030
Al 0.558 0.115 0.923
Al 0.442 0.885 0.423

18.
## BaAl2Cl (GGA-PBE)

Data for a relaxed BaAl2Cl crystal.

a b c (Å): 6.536 6.536 3.746
angles (deg): 90.00 90.00 127.55
Positions (direct):
Al 0.500 0.500 0.000
Al 0.000 0.000 0.000
Ba 0.500 0.000 0.500
Cl 0.000 0.500 0.500

Results
Energy relative to the lowest polymorph listed for this composition in meV/atom: 419

19.
## BaAl2Cl (GGA-PBE)

Data for a relaxed BaAl2Cl crystal.

a b c (Å): 3.890 4.019 8.761
angles (deg): 77.17 90.00 90.00
Positions (direct):
Al 0.000 0.979 0.159
Al 0.500 0.480 0.157
Cl 0.500 0.733 0.669
Ba 0.000 0.307 0.515

Results
Energy relative to the lowest polymorph listed for this composition in meV/atom: 34

20.
## BaAl2Cl (GGA-PBE)

Data for a relaxed BaAl2Cl crystal.

a b c (Å): 4.086 4.086 7.145
angles (deg): 90.00 90.00 90.00
Positions (direct):
Al 0.000 0.000 0.928
Al 0.000 0.000 0.572
Cl 0.500 0.500 0.750
Ba 0.500 0.500 0.250

Results
Energy relative to the lowest polymorph listed for this composition in meV/atom: 516

21.
## Ba2AlCl (GGA-PBE)

Data for a relaxed Ba2AlCl crystal.

a b c (Å): 4.403 8.583 6.843
angles (deg): 37.12 90.00 90.00
Positions (direct):
Al 0.000 0.000 0.500
Cl 0.500 0.500 0.500
Ba 0.000 0.000 0.000
Ba 0.500 0.500 0.000

Results
Energy relative to the lowest polymorph listed for this composition in meV/atom: 67

22.
## BaAl3Cl (GGA-PBE)

Data for a relaxed BaAl3Cl crystal.

a b c (Å): 5.307 5.307 5.307
angles (deg): 90.00 90.00 90.00
Positions (direct):
Al 0.500 0.000 0.000
Al 0.000 0.000 0.500
Al 0.000 0.500 0.000
Ba 0.500 0.500 0.500
Cl 0.000 0.000 0.000

Results
Energy relative to the lowest polymorph listed for this composition in meV/atom: 0

23.
## Ba2AlCl (GGA-PBE)

Data for a relaxed Ba2AlCl crystal.

a b c (Å): 7.000 7.000 5.517
angles (deg): 90.01 90.01 33.48
Positions (direct):
Ba 0.740 0.740 0.625
Ba 0.994 0.994 0.125
Cl 0.506 0.506 0.625
Al 0.261 0.261 0.125

Results
Energy relative to the lowest polymorph listed for this composition in meV/atom: 85

Ordered VASP energy results: -2.80; -4.23; -1.58; -4.09; -3.81; -2.80; -2.59; -2.05; -2.40; -1.71; -1.54; -2.47; -1.73; -3.94; -3.25; -7.61; -5.13; -3.02; -3.41; -2.93; -3.22; -2.82; -3.20; unit eV per atom.